(1)
Density functional theory data (PBE-GGA) for a relaxed MnTl2W crystal.

Unit cell a=4.305 b=4.305 c=4.161 alpha=90.00 beta=90.00 gamma=90.00
Site moments in Bohr magnetons follow the coordinates.
Positions (direct):
Tl: 0.000 0.000 0.000  -0.02
Tl: 0.500 0.500 0.000  -0.02
Mn: 0.000 0.500 0.500  3.60
W: 0.500 0.000 0.500  -0.56

## Properties
The calculation puts the electronic total energy at -23.1 eV per cell. The calculation puts the formation energy at 91.16 kJ/mol of atoms. The calculation puts the polymorph energy (0 for the lowest one) at 390 meV/atom. The space group is P4/mmm (123).



(2)
Density functional theory data (PBE-GGA) for a relaxed MnTlW3 crystal.

Unit cell a=4.538 b=4.538 c=4.538 alpha=90.00 beta=90.00 gamma=90.00
Positions (direct):
W: 0.000 0.000 0.500
W: 0.000 0.500 0.000
W: 0.500 0.000 0.000
Tl: 0.500 0.500 0.500
Mn: 0.000 0.000 0.000

## Properties
The calculation puts the electronic total energy at -43.4 eV per cell. The calculation puts the formation energy at 135.81 kJ/mol of atoms. The calculation puts the polymorph energy (0 for the lowest one) at 0 meV/atom. The space group is Pm-3m (221).